# 1
! PBE ReRu2Cl, optimized geometry; values from VASP
&SYSTEM
  ibrav = 0, nat = 4, ntyp = 3
/
ATOMIC_SPECIES
Re 186.21 Re.upf
Ru 101.07 Ru.upf
Cl 35.45 Cl.upf
CELL_PARAMETERS angstrom
0.0000 3.0829 3.0829
3.0829 0.0000 3.0829
3.0829 3.0829 0.0000
ATOMIC_POSITIONS angstrom
Re 0.0000 0.0000 0.0000
Ru 1.5415 1.5415 1.5415
Ru 3.0829 3.0829 3.0829
Cl 4.6244 4.6244 4.6244
! Uncorrected formation energy = 985 meV/atom
! Magnetic moment = 0.00 Bohr magnetons per cell
! Offset from the most stable computed form = 684 meV per atom



# 2
! PBE Ac5Pm2Nd12, optimized geometry; values from VASP
&SYSTEM
  ibrav = 0, nat = 19, ntyp = 3
/
ATOMIC_SPECIES
Ac 227.00 Ac.upf
Pm 145.00 Pm.upf
Nd 144.24 Nd.upf
CELL_PARAMETERS angstrom
11.5838 -3.7088 0.0000
11.5838 3.7088 0.0000
-3.1643 0.0000 8.4861
ATOMIC_POSITIONS angstrom
Ac 0.0000 0.0000 0.0000
Ac 2.5690 0.0000 8.3726
Ac 6.7508 0.0000 3.4918
Ac 13.2525 0.0000 4.9943
Ac 17.4343 0.0000 0.1135
Pm 10.0016 1.8079 4.2431
Pm 10.0016 -1.8079 4.2431
Nd 4.7311 1.8314 6.0315
Nd 1.5402 0.0000 4.7234
Nd 8.7491 1.7657 1.0409
Nd 11.2542 1.7657 7.4452
Nd 15.2722 1.8314 2.4546
Nd 7.9382 0.0000 6.8662
Nd 12.0651 0.0000 1.6199
Nd 4.7311 -1.8314 6.0315
Nd 8.7491 -1.7657 1.0409
Nd 11.2542 -1.7657 7.4452
Nd 18.4631 0.0000 3.7627
Nd 15.2722 -1.8314 2.4546
! Magnetic moment = 0.00 Bohr magnetons per cell
! Total DFT energy (no corrections) = -84.6 eV per cell



# 3
! PBE Tb3TcC3, optimized geometry; values from VASP
&SYSTEM
  ibrav = 0, nat = 14, ntyp = 3
/
ATOMIC_SPECIES
Tb 158.93 Tb.upf
Tc 98.00 Tc.upf
C 12.01 C.upf
CELL_PARAMETERS angstrom
7.5249 0.0000 0.0000
-3.7625 6.5168 0.0000
0.0000 0.0000 5.0801
ATOMIC_POSITIONS angstrom
Tb -0.7124 2.3762 1.2700
Tb -1.3484 5.9456 1.2700
Tb 1.7016 1.8051 3.8100
Tb 2.0608 4.7117 1.2700
Tb 5.1109 0.5711 3.8100
Tb 4.4749 4.1406 3.8100
Tc 0.0000 4.3445 3.8100
Tc 3.7625 2.1723 1.2700
C -0.7833 2.5910 3.8100
C -1.1270 5.8997 3.8100
C 1.8522 1.9739 1.2700
C 1.9103 4.5429 3.8100
C 4.8894 0.6171 1.2700
C 4.5458 3.9258 1.2700
! Magnetic moment = 0.01 Bohr magnetons per cell
! Offset from the most stable computed form = 90 meV per atom



# 4
! PBE Hf2ScCuAs, optimized geometry; values from VASP
&SYSTEM
  ibrav = 0, nat = 5, ntyp = 4
/
ATOMIC_SPECIES
Hf 178.49 Hf.upf
Sc 44.96 Sc.upf
Cu 63.55 Cu.upf
As 74.92 As.upf
CELL_PARAMETERS angstrom
5.1261 0.0000 0.0000
0.0000 5.1261 0.0000
0.0000 0.0000 4.4390
ATOMIC_POSITIONS angstrom
Hf 0.0000 2.5631 0.0000
Hf 2.5631 0.0000 0.0000
Sc 0.0000 0.0000 0.0000
Cu 0.0000 0.0000 2.2195
As 2.5631 2.5631 2.2195
! Magnetic moment = 0.00 Bohr magnetons per cell
! Total DFT energy (no corrections) = -28.8 eV per cell



# 5
! PBE GdZrN2, optimized geometry; values from VASP
&SYSTEM
  ibrav = 0, nat = 4, ntyp = 3
/
ATOMIC_SPECIES
Gd 157.25 Gd.upf
Zr 91.22 Zr.upf
N 14.01 N.upf
CELL_PARAMETERS angstrom
1.6792 0.9695 5.5824
-1.6792 0.9695 5.5824
0.0000 -1.9390 5.5824
ATOMIC_POSITIONS angstrom
Gd 0.0000 0.0000 0.0000
Zr 0.0000 0.0000 8.3735
N 0.0000 0.0000 4.0657
N 0.0000 0.0000 12.6814
! Uncorrected formation energy = -1676 meV/atom
! Magnetic moment = 6.77 Bohr magnetons per cell



# 6
! PBE PmSm2Bi2, optimized geometry; values from VASP
&SYSTEM
  ibrav = 0, nat = 10, ntyp = 3
/
ATOMIC_SPECIES
Pm 145.00 Pm.upf
Sm 150.36 Sm.upf
Bi 208.98 Bi.upf
CELL_PARAMETERS angstrom
-4.4508 6.0118 3.2214
4.4508 -6.0118 3.2214
4.4508 6.0118 -3.2214
ATOMIC_POSITIONS angstrom
Pm 0.0000 0.0000 1.6107
Pm 0.0000 0.0000 4.8321
Sm 5.7272 1.8155 0.0000
Sm 1.2764 4.1963 0.0000
Sm 3.1743 1.8155 3.2214
Sm -1.2764 4.1963 3.2214
Bi 2.5690 1.3373 0.0000
Bi 2.5690 -1.3373 3.2214
Bi 1.8817 7.3491 0.0000
Bi 1.8817 4.6745 3.2214
! Magnetic moment = 0.00 Bohr magnetons per cell
! Total DFT energy (no corrections) = -50.2 eV per cell



# 7
! PBE Th2As5, optimized geometry; values from VASP
&SYSTEM
  ibrav = 0, nat = 14, ntyp = 2
/
ATOMIC_SPECIES
Th 232.04 Th.upf
As 74.92 As.upf
CELL_PARAMETERS angstrom
2.0543 -19.7923 0.0000
2.0543 19.7923 0.0000
0.0000 0.0000 4.1135
ATOMIC_POSITIONS angstrom
Th 2.0543 15.9893 3.0851
Th 2.0543 7.4667 3.0851
Th 2.0543 -7.4667 1.0284
Th 2.0543 -15.9893 1.0284
As 2.0543 18.4799 1.0284
As 2.0543 12.9874 3.0851
As 2.0543 9.8954 1.0284
As 2.0543 4.3421 3.0851
As 2.0543 1.4095 1.0284
As 2.0543 -1.4095 3.0851
As 2.0543 -4.3421 1.0284
As 2.0543 -9.8954 3.0851
As 2.0543 -12.9874 1.0284
As 2.0543 -18.4799 3.0851
! Magnetic moment = 0.00 Bohr magnetons per cell
! Total DFT energy (no corrections) = -86.9 eV per cell



# 8
! PBE YErRh, optimized geometry; values from VASP
&SYSTEM
  ibrav = 0, nat = 3, ntyp = 3
/
ATOMIC_SPECIES
Y 88.91 Y.upf
Er 167.26 Er.upf
Rh 102.91 Rh.upf
CELL_PARAMETERS angstrom
-1.7199 1.7199 6.2913
1.7199 -1.7199 6.2913
1.7199 1.7199 -6.2913
ATOMIC_POSITIONS angstrom
Y 0.0000 0.0000 0.0000
Er 0.0000 0.0000 9.2760
Rh 0.0000 0.0000 4.5829
! Magnetic moment = 0.00 Bohr magnetons per cell
! Offset from the most stable computed form = 26 meV per atom



# 9
! PBE LiZr2SeBr, optimized geometry; values from VASP
&SYSTEM
  ibrav = 0, nat = 5, ntyp = 4
/
ATOMIC_SPECIES
Li 6.94 Li.upf
Zr 91.22 Zr.upf
Se 78.96 Se.upf
Br 79.90 Br.upf
CELL_PARAMETERS angstrom
4.9177 0.0000 0.0000
0.0000 4.9177 0.0000
0.0000 0.0000 4.1544
ATOMIC_POSITIONS angstrom
Li 0.0000 0.0000 0.0000
Zr 0.0000 2.4588 0.0000
Zr 2.4588 0.0000 0.0000
Se 0.0000 0.0000 2.0772
Br 2.4588 2.4588 2.0772
! Uncorrected formation energy = 150 meV/atom
! Magnetic moment = 0.00 Bohr magnetons per cell
! Offset from the most stable computed form = 0 meV per atom



# 10
! PBE ZrIn, optimized geometry; values from VASP
&SYSTEM
  ibrav = 0, nat = 16, ntyp = 2
/
ATOMIC_SPECIES
Zr 91.22 Zr.upf
In 114.82 In.upf
CELL_PARAMETERS angstrom
5.6022 0.0000 0.0000
0.0000 6.1886 0.0000
0.0000 0.0000 10.5344
ATOMIC_POSITIONS angstrom
Zr 0.1375 0.7283 2.4725
Zr 1.0544 2.2456 5.4758
Zr 1.7467 3.9430 0.2086
Zr 2.6636 5.4604 7.7397
Zr 2.9386 2.3660 8.0619
Zr 3.8555 0.8487 5.0586
Zr 4.5478 5.3399 10.3258
Zr 5.4647 3.8226 2.7947
In 0.1265 3.7551 8.0604
In 1.0311 5.4075 5.0906
In 1.7699 0.7811 10.3578
In 2.6746 2.4335 2.7932
In 2.9276 5.5278 2.4740
In 3.8322 3.8755 5.4438
In 4.5710 2.3132 0.1766
In 5.4757 0.6608 7.7412
! Magnetic moment = 0.00 Bohr magnetons per cell
! Total DFT energy (no corrections) = -93.9 eV per cell



# 11
! PBE HfPd8Au6, optimized geometry; values from VASP
&SYSTEM
  ibrav = 0, nat = 15, ntyp = 3
/
ATOMIC_SPECIES
Hf 178.49 Hf.upf
Pd 106.42 Pd.upf
Au 196.97 Au.upf
CELL_PARAMETERS angstrom
7.6696 0.0000 0.0000
-3.8348 6.6421 0.0000
0.0000 0.0000 5.1414
ATOMIC_POSITIONS angstrom
Hf 0.0000 0.0000 0.0000
Pd -2.5707 5.1215 3.5295
Pd 0.6848 1.8551 3.5295
Pd 1.9489 0.3345 1.6118
Pd 0.0000 4.4281 3.6027
Pd 3.8348 2.2140 1.5387
Pd 1.8859 6.3076 3.5295
Pd 3.1500 4.7870 1.6118
Pd 6.4055 1.5206 1.6118
Au -1.6821 4.2892 0.9891
Au 0.9614 3.0408 0.9891
Au 3.1140 0.6878 4.1523
Au 0.7208 5.9543 0.9891
Au 2.8735 3.6013 4.1523
Au 5.5169 2.3529 4.1523
! Magnetic moment = 0.00 Bohr magnetons per cell
! Total DFT energy (no corrections) = -73.1 eV per cell



# 12
! PBE AcSm2PaP4, optimized geometry; values from VASP
&SYSTEM
  ibrav = 0, nat = 8, ntyp = 4
/
ATOMIC_SPECIES
Ac 227.00 Ac.upf
Sm 150.36 Sm.upf
Pa 231.04 Pa.upf
P 30.97 P.upf
CELL_PARAMETERS angstrom
-2.9342 2.9342 5.8744
2.9342 -2.9342 5.8744
2.9342 2.9342 -5.8744
ATOMIC_POSITIONS angstrom
Ac 0.0000 0.0000 0.0000
Sm 0.0000 0.0000 5.8744
Sm 0.0000 2.9342 2.9372
Pa 2.9342 0.0000 2.9372
P 2.9342 0.0000 0.1493
P 0.0000 0.0000 3.0182
P 2.9342 0.0000 5.7252
P 0.0000 0.0000 8.7307
! Magnetic moment = 0.00 Bohr magnetons per cell
! Total DFT energy (no corrections) = -56.0 eV per cell



# 13
! PBE InGeBr3, optimized geometry; values from VASP
&SYSTEM
  ibrav = 0, nat = 20, ntyp = 3
/
ATOMIC_SPECIES
In 114.82 In.upf
Ge 72.64 Ge.upf
Br 79.90 Br.upf
CELL_PARAMETERS angstrom
9.7747 0.0000 0.0000
0.0000 7.5735 0.0000
-4.3974 0.0000 10.3120
ATOMIC_POSITIONS angstrom
In 1.4629 1.8874 1.3335
In -0.7358 1.8993 6.4895
In 6.1130 5.6741 3.8225
In 3.9143 5.6861 8.9785
Ge 3.8294 5.5985 0.0410
Ge 1.6307 5.7617 5.1970
Ge 3.7466 1.8118 5.1150
Ge 1.5479 1.9750 10.2710
Br -2.6868 4.3556 9.6735
Br -0.4881 7.0046 4.5175
Br -1.2765 0.2510 9.2400
Br 0.9222 3.5358 4.0840
Br 0.8380 4.6895 8.3735
Br 3.0367 6.6707 3.2175
Br 2.3405 0.9027 7.0946
Br 4.5392 2.8840 1.9385
Br 4.4551 4.0377 6.2280
Br 6.6538 7.3225 1.0720
Br 5.8654 0.5688 5.7945
Br 8.0641 3.2179 0.6385
! Uncorrected formation energy = -599 meV/atom
! Magnetic moment = 0.00 Bohr magnetons per cell